Entry from the Alexandria database: Cd2ReBr after structural relaxation (PBE-GGA).

Structure (POSCAR):
```
Cd2ReBr
1.0
9.219 -0.007 -0.004
8.650 3.188 -0.004
8.650 1.540 2.791
Cd Re Br
2 1 1
direct
0.496 0.496 0.496
0.004 0.004 0.004
0.750 0.750 0.750
0.250 0.250 0.250
```

Results
The value obtained for the density of states at the Fermi level is 0.49 states/eV/atom. The calculation puts the energy relative to the lowest polymorph listed for this composition at 90 meV per atom. The raw total energy is -3.43 eV per atom. The theoretical density comes out at 9.90 g cm⁻³. The space group is No. 166.